No. 1
# Ac3Tb4Tl4

Crystalline Ac3Tb4Tl4 at its relaxed geometry (GGA-PBE, Alexandria via LeMat-Bulk).

Results
E_form, eV per atom: -0.25
Magnetic moment, μB per formula unit: 0.5

abc: 5.0183 8.5751 17.3434
angles: 90.00 90.00 90.00
Space group Immm (No. 71)
Symmetry-distinct sites (fractional):
Ac: 0.0000 0.0000 0.0000 [2 per cell]
Ac: 0.0000 0.5000 0.1143 [4 per cell]
Tb: 0.0000 0.2993 0.3281 [8 per cell]
Tl: 0.0000 0.0000 0.2190 [4 per cell]
Tl: 0.0000 0.1921 0.5000 [4 per cell]



No. 2
# Ac3Tb2Tl2

Crystalline Ac3Tb2Tl2 at its relaxed geometry (GGA-PBE, Alexandria via LeMat-Bulk).

Results
E_form, eV per atom: -0.08
Magnetic moment, μB per formula unit: 0.3

abc: 5.2479 25.0569 3.7924
angles: 90.00 90.00 90.00
Space group Cmmm (No. 65)
Symmetry-distinct sites (fractional):
Ac: 0.0000 0.0000 0.0000 [2 per cell]
Ac: 0.0000 0.1494 0.0000 [4 per cell]
Tb: 0.0000 0.2843 0.5000 [4 per cell]
Tl: 0.0000 0.4237 0.5000 [4 per cell]



No. 3
# AcTb4Tl4

Crystalline AcTb4Tl4 at its relaxed geometry (GGA-PBE, Alexandria via LeMat-Bulk).

Results
E_form, eV per atom: -0.16
Magnetic moment, μB per formula unit: 0.0

abc: 9.8374 9.8374 5.8653
angles: 90.00 90.00 90.00
Space group P4_2/n (No. 86, origin choice 2)
Symmetry-distinct sites (fractional):
Ac: 0.2500 0.2500 0.2500 [2 per cell]
Tb: 0.1028 0.8352 0.6509 [8 per cell]
Tl: 0.0286 0.1372 0.8395 [8 per cell]



No. 4
# Ac5Tb4Tl4

Crystalline Ac5Tb4Tl4 at its relaxed geometry (GGA-PBE, Alexandria via LeMat-Bulk).

Results
E_form, eV per atom: -0.23
Magnetic moment, μB per formula unit: 0.0

abc: 13.5165 13.5165 5.0778
angles: 90.00 90.00 90.00
Space group I4/m (No. 87)
Symmetry-distinct sites (fractional):
Ac: 0.0000 0.0000 0.0000 [2 per cell]
Ac: 0.1243 0.2013 0.5000 [8 per cell]
Tb: 0.0848 0.5965 0.5000 [8 per cell]
Tl: 0.0711 0.7515 0.0000 [8 per cell]



No. 5
# AcTbTl

Crystalline AcTbTl at its relaxed geometry (GGA-PBE, Alexandria via LeMat-Bulk).

Results
E_form, eV per atom: -0.16
Energy relative to the lowest polymorph listed for this composition, eV per atom: 0.097
Magnetic moment, μB per formula unit: 0.0

abc: 5.4570 5.4570 4.0383
angles: 90.00 90.00 120.00
Space group P3m1 (No. 156)
Symmetry-distinct sites (fractional):
Ac: 0.0000 0.0000 0.0000 [1 per cell]
Tb: 0.3333 0.6667 0.4979 [1 per cell]
Tl: 0.6667 0.3333 0.5053 [1 per cell]



No. 6
# AcTb8Tl6

Crystalline AcTb8Tl6 at its relaxed geometry (GGA-PBE, Alexandria via LeMat-Bulk).

Results
E_form, eV per atom: -0.13
Magnetic moment, μB per formula unit: 0.0

abc: 9.2945 9.2945 19.4855
angles: 90.00 90.00 120.00
Space group R-3 (No. 148, hexagonal axes)
Symmetry-distinct sites (fractional):
Ac: 0.0000 0.0000 0.0000 [3 per cell]
Tb: 0.0000 0.0000 0.3315 [6 per cell]
Tb: 0.0022 0.6646 0.7764 [18 per cell]
Tl: 0.0001 0.3463 0.0640 [18 per cell]